The following is a DFT calculation (PBE-GGA) of an optimized crystal structure of ZrAlS3.

Values from the calculation:
M_tot in μB/atom: 0.16
Crystal system: cubic
Energy above the most stable polymorph in this dataset in meV/atom: 756.3
E_form (uncorrected) in eV per atom: -0.45

```
ZrAlS3
1.0
4.5456 0.0000 0.0000
0.0000 4.5456 0.0000
0.0000 0.0000 4.5456
Zr Al S
1 1 3
direct
0.0000 0.0000 0.0000
0.5000 0.5000 0.5000
0.0000 0.5000 0.5000
0.5000 0.0000 0.5000
0.5000 0.5000 0.0000
```